Below is a geometry-optimized CaTlAg2 structure, with properties calculated at the PBE level.

Lattice parameters (Å, degrees): 3.892 4.607 5.860 90.00 109.12 90.00
Positions (direct):
Ca 0.000 0.000 0.000
Tl 0.692 0.500 0.382
Ag 0.279 0.000 0.546
Ag 0.419 0.500 0.835

The calculation puts the energy relative to the elements at -0.141 eV/atom. As for the final energy: -2.66 eV per atom. The density of states at the Fermi level comes out at 2.00 states/eV/f.u.